# Sm2Cd16Bi | Alexandria | PBE-GGA | optimized geometry
data_Sm2Cd16Bi
_chemical_formula_sum 'Sm6 Cd48 Bi3'
_cell_length_a 10.3180
_cell_length_b 10.3180
_cell_length_c 14.6484
_cell_angle_alpha 90.00
_cell_angle_beta 90.00
_cell_angle_gamma 120.00
_space_group_name_H-M_alt 'R 3 m'
_space_group_IT_number 160
_space_group_name_Hall 'R 3 -2"'
loop_
_atom_site_label
_atom_site_type_symbol
_atom_site_fract_x
_atom_site_fract_y
_atom_site_fract_z
Sm1 Sm 0.0000 0.0000 0.0000
Sm2 Sm 0.0000 0.0000 0.3286
Cd1 Cd 0.0000 0.0000 0.5587
Cd2 Cd 0.0029 0.3180 0.6646
Cd3 Cd 0.0209 0.5105 0.1617
Cd4 Cd 0.0221 0.5111 0.8217
Cd5 Cd 0.1728 0.3456 0.8436
Bi1 Bi 0.0000 0.0000 0.7709
# Total magnetization in μB/atom: 0.000
# Formation energy in meV per atom: -127.8